## A
# InSn2Au3 PBE relaxed
# **M_tot**: 0.0 μB per cell
# **Volume**: 570.7 Å³ per cell
# **Mass density**: 11.0 Mg/m³
data_InSn2Au3
_cell_length_a 5.747
_cell_length_b 5.772
_cell_length_c 17.202
_cell_angle_alpha 90.00
_cell_angle_beta 90.00
_cell_angle_gamma 90.00
_symmetry_space_group_name_H-M 'F m m m'
_symmetry_Int_Tables_number 69
_symmetry_space_group_name_Hall '-F 2 2'
loop_
_atom_site_label
_atom_site_fract_x
_atom_site_fract_y
_atom_site_fract_z
In1 0.000 0.000 0.000
Sn1 0.000 0.000 0.335
Au1 0.000 0.000 0.168
Au2 0.000 0.000 0.500



## B
# InSn2Au3 PBE relaxed
# **M_tot**: 0.0 μB per cell
# **Volume**: 565.8 Å³ per cell
# **Mass density**: 11.1 Mg/m³
data_InSn2Au3
_cell_length_a 7.466
_cell_length_b 12.407
_cell_length_c 6.528
_cell_angle_alpha 90.00
_cell_angle_beta 110.67
_cell_angle_gamma 90.00
_symmetry_space_group_name_H-M 'C 1 2/c 1'
_symmetry_Int_Tables_number 15
loop_
_symmetry_equiv_pos_as_xyz
'x,y,z'
'-x,-y,-z'
'-x,y,-z+1/2'
'x,-y,z+1/2'
'x+1/2,y+1/2,z'
'-x+1/2,-y+1/2,-z'
'-x+1/2,y+1/2,-z+1/2'
'x+1/2,-y+1/2,z+1/2'
loop_
_atom_site_label
_atom_site_fract_x
_atom_site_fract_y
_atom_site_fract_z
In1 0.000 0.079 0.250
Sn1 0.000 0.244 0.750
Sn2 0.000 0.415 0.250
Au1 0.245 0.416 0.991
Au2 0.250 0.250 0.500



Which of them is most stable? Easy: B.



## A
# InSnAu3 PBE relaxed
# **M_tot**: 0.0 μB per cell
# **Volume**: 145.2 Å³ per cell
# **Mass density**: 9.4 Mg/m³
data_InSnAu3
_cell_length_a 5.256
_cell_length_b 5.256
_cell_length_c 5.256
_cell_angle_alpha 90.00
_cell_angle_beta 90.00
_cell_angle_gamma 90.00
_symmetry_space_group_name_H-M 'P m -3 m'
_symmetry_Int_Tables_number 221
_symmetry_space_group_name_Hall '-P 4 2 3'
loop_
_atom_site_label
_atom_site_fract_x
_atom_site_fract_y
_atom_site_fract_z
In1 0.000 0.000 0.000
Sn1 0.500 0.500 0.500
Au1 0.000 0.500 0.500



## B
# InSnAu3 PBE relaxed
# **M_tot**: 0.0 μB per cell
# **Volume**: 218.7 Å³ per cell
# **Mass density**: 12.5 Mg/m³
data_InSnAu3
_cell_length_a 3.847
_cell_length_b 5.763
_cell_length_c 9.862
_cell_angle_alpha 90.00
_cell_angle_beta 90.00
_cell_angle_gamma 90.00
_symmetry_space_group_name_H-M 'P m m n'
_symmetry_Int_Tables_number 59
loop_
_symmetry_equiv_pos_as_xyz
'x,y,z'
'-x,-y,-z'
'-x+1/2,-y+1/2,z'
'x+1/2,y+1/2,-z'
'x+1/2,-y,-z'
'-x+1/2,y,z'
'-x,y+1/2,-z'
'x,-y+1/2,z'
loop_
_atom_site_label
_atom_site_fract_x
_atom_site_fract_y
_atom_site_fract_z
In1 0.250 0.250 0.044
Sn1 0.250 0.750 0.406
Au1 0.250 0.003 0.796
Au2 0.250 0.250 0.379



## C
# InSnAu3 PBE relaxed
# **M_tot**: 0.0 μB per cell
# **Volume**: 138.3 Å³ per cell
# **Mass density**: 9.9 Mg/m³
data_InSnAu3
_cell_length_a 5.172
_cell_length_b 5.172
_cell_length_c 5.172
_cell_angle_alpha 90.00
_cell_angle_beta 90.00
_cell_angle_gamma 90.00
_symmetry_space_group_name_H-M 'P m -3 m'
_symmetry_Int_Tables_number 221
_symmetry_space_group_name_Hall '-P 4 2 3'
loop_
_atom_site_label
_atom_site_fract_x
_atom_site_fract_y
_atom_site_fract_z
In1 0.000 0.000 0.000
Sn1 0.500 0.500 0.500
Au1 0.000 0.000 0.500



## D
# InSnAu3 PBE relaxed
# **M_tot**: 0.0 μB per cell
# **Volume**: 220.2 Å³ per cell
# **Mass density**: 12.4 Mg/m³
data_InSnAu3
_cell_length_a 5.411
_cell_length_b 7.192
_cell_length_c 5.885
_cell_angle_alpha 90.00
_cell_angle_beta 105.97
_cell_angle_gamma 90.00
_symmetry_space_group_name_H-M 'P 1 21/m 1'
_symmetry_Int_Tables_number 11
loop_
_symmetry_equiv_pos_as_xyz
'x,y,z'
'-x,-y,-z'
'-x,y+1/2,-z'
'x,-y+1/2,z'
loop_
_atom_site_label
_atom_site_fract_x
_atom_site_fract_y
_atom_site_fract_z
In1 0.073 0.250 0.419
Sn1 0.324 0.750 0.212
Au1 0.201 0.051 0.881
Au2 0.475 0.750 0.704



Which of them is most stable? Easy: B.



## A
# In2Sn2Au PBE relaxed
# **M_tot**: 0.0 μB per cell
# **Volume**: 272.7 Å³ per cell
# **Mass density**: 8.1 Mg/m³
data_In2Sn2Au
_cell_length_a 7.296
_cell_length_b 7.296
_cell_length_c 5.123
_cell_angle_alpha 90.00
_cell_angle_beta 90.00
_cell_angle_gamma 90.00
_symmetry_space_group_name_H-M 'P 4/m b m'
_symmetry_Int_Tables_number 127
_symmetry_space_group_name_Hall '-P 4 2ab'
loop_
_atom_site_label
_atom_site_fract_x
_atom_site_fract_y
_atom_site_fract_z
In1 0.165 0.335 0.000
Sn1 0.147 0.647 0.500
Au1 0.000 0.000 0.500



## B
# In2Sn2Au PBE relaxed
# **M_tot**: 0.0 μB per cell
# **Volume**: 271.8 Å³ per cell
# **Mass density**: 8.1 Mg/m³
data_In2Sn2Au
_cell_length_a 4.084
_cell_length_b 4.084
_cell_length_c 16.296
_cell_angle_alpha 90.00
_cell_angle_beta 90.00
_cell_angle_gamma 90.00
_symmetry_space_group_name_H-M 'I 4/m m m'
_symmetry_Int_Tables_number 139
_symmetry_space_group_name_Hall '-I 4 2'
loop_
_atom_site_label
_atom_site_fract_x
_atom_site_fract_y
_atom_site_fract_z
In1 0.000 0.500 0.250
Sn1 0.000 0.000 0.091
Au1 0.000 0.000 0.500



Which of them is most stable? Easy: A.